Arrangement P

VASP calculation (GGA-PBE) on SrNdCdIn after structural relaxation.

Summary:
SG   F-43m (216)

Lattice parameters (Å, degrees): 7.923 7.923 7.923 90.00 90.00 90.00
Atoms (fractional coordinates):
Sr 0.000 0.000 0.000
Sr 0.000 0.500 0.500
Sr 0.500 0.000 0.500
Sr 0.500 0.500 0.000
Nd 0.000 0.000 0.500
Nd 0.000 0.500 0.000
Nd 0.500 0.000 0.000
Nd 0.500 0.500 0.500
Cd 0.250 0.250 0.250
Cd 0.250 0.750 0.750
Cd 0.750 0.250 0.750
Cd 0.750 0.750 0.250
In 0.250 0.250 0.750
In 0.250 0.750 0.250
In 0.750 0.250 0.250
In 0.750 0.750 0.750


Arrangement Q

VASP calculation (GGA-PBE) on SrNdCdIn after structural relaxation.

Summary:
SG   P4mm (99)

Lattice parameters (Å, degrees): 3.915 3.915 8.138 90.00 90.00 90.00
Atoms (fractional coordinates):
Sr 0.000 0.000 0.000
Nd 0.000 0.000 0.503
Cd 0.500 0.500 0.733
In 0.500 0.500 0.271


Which of them is least stable? Easy: arrangement P.


Arrangement P

VASP calculation (GGA-PBE) on CdIn3Ni after structural relaxation.

Summary:
SG   Pm-3m (221)

Lattice parameters (Å, degrees): 5.434 5.434 5.434 90.00 90.00 90.00
Atoms (fractional coordinates):
Cd 0.000 0.000 0.000
In 0.000 0.000 0.500
In 0.000 0.500 0.000
In 0.500 0.000 0.000
Ni 0.500 0.500 0.500


Arrangement Q

VASP calculation (GGA-PBE) on CdIn3Ni after structural relaxation.

Summary:
SG   Pm-3m (221)

Lattice parameters (Å, degrees): 5.017 5.017 5.017 90.00 90.00 90.00
Atoms (fractional coordinates):
Cd 0.000 0.000 0.000
In 0.000 0.500 0.500
In 0.500 0.000 0.500
In 0.500 0.500 0.000
Ni 0.500 0.500 0.500


Which of them is least stable? Easy: arrangement P.


Arrangement P

VASP calculation (GGA-PBE) on Cd2InNiPb after structural relaxation.

Summary:
SG   P4/mmm (123)

Lattice parameters (Å, degrees): 5.045 5.045 4.926 90.00 90.00 90.00
Atoms (fractional coordinates):
Cd 0.000 0.500 0.000
Cd 0.500 0.000 0.000
In 0.000 0.000 0.500
Ni 0.000 0.000 0.000
Pb 0.500 0.500 0.500


Arrangement Q

VASP calculation (GGA-PBE) on Cd2InNiPb after structural relaxation.

Summary:
SG   P4/mmm (123)

Lattice parameters (Å, degrees): 5.098 5.098 4.990 90.00 90.00 90.00
Atoms (fractional coordinates):
Cd 0.000 0.500 0.000
Cd 0.500 0.000 0.000
In 0.000 0.000 0.500
Ni 0.500 0.500 0.000
Pb 0.500 0.500 0.500


Which of them is least stable? Easy: arrangement Q.


Arrangement P

VASP calculation (GGA-PBE) on CdIn2NiPb after structural relaxation.

Summary:
SG   P4/mmm (123)

Lattice parameters (Å, degrees): 4.960 4.960 5.128 90.00 90.00 90.00
Atoms (fractional coordinates):
Cd 0.000 0.000 0.000
In 0.000 0.500 0.500
In 0.500 0.000 0.500
Ni 0.000 0.000 0.500
Pb 0.500 0.500 0.000


Arrangement Q

VASP calculation (GGA-PBE) on CdIn2NiPb after structural relaxation.

Summary:
SG   P4/mmm (123)

Lattice parameters (Å, degrees): 5.892 5.892 4.897 90.00 90.00 90.00
Atoms (fractional coordinates):
Cd 0.000 0.000 0.000
In 0.000 0.500 0.500
In 0.500 0.000 0.500
Ni 0.500 0.500 0.000
Pb 0.500 0.500 0.500


Which of them is least stable? Easy: arrangement Q.


Arrangement P

VASP calculation (GGA-PBE) on SrCdIn2Ni after structural relaxation.

Summary:
SG   P4/mmm (123)

Lattice parameters (Å, degrees): 5.013 5.013 5.563 90.00 90.00 90.00
Atoms (fractional coordinates):
Sr 0.000 0.000 0.000
Cd 0.500 0.500 0.000
In 0.000 0.500 0.500
In 0.500 0.000 0.500
Ni 0.000 0.000 0.500


Arrangement Q

VASP calculation (GGA-PBE) on SrCdIn2Ni after structural relaxation.

Summary:
SG   P4/mmm (123)

Lattice parameters (Å, degrees): 5.018 5.018 5.102 90.00 90.00 90.00
Atoms (fractional coordinates):
Sr 0.000 0.000 0.000
Cd 0.500 0.500 0.000
In 0.000 0.500 0.500
In 0.500 0.000 0.500
Ni 0.500 0.500 0.500


Which of them is least stable? Easy: arrangement P.


Arrangement P

VASP calculation (GGA-PBE) on NpCdIn2 after structural relaxation.

Summary:
SG   Fm-3m (225)

Lattice parameters (Å, degrees): 7.387 7.387 7.387 90.00 90.00 90.00
Atoms (fractional coordinates):
Np 0.000 0.000 0.000
Np 0.000 0.500 0.500
Np 0.500 0.000 0.500
Np 0.500 0.500 0.000
Cd 0.000 0.000 0.500
Cd 0.000 0.500 0.000
Cd 0.500 0.000 0.000
Cd 0.500 0.500 0.500
In 0.250 0.250 0.250
In 0.250 0.250 0.750
In 0.250 0.750 0.250
In 0.250 0.750 0.750
In 0.750 0.250 0.250
In 0.750 0.250 0.750
In 0.750 0.750 0.250
In 0.750 0.750 0.750


Arrangement Q

VASP calculation (GGA-PBE) on NpCdIn2 after structural relaxation.

Summary:
SG   R-3m (166)

Lattice parameters (Å, degrees): 3.184 3.184 32.452 90.00 90.00 120.00
Atoms (fractional coordinates):
Np 0.000 0.000 0.000
Np 0.333 0.667 0.667
Np 0.667 0.333 0.333
Cd 0.000 0.000 0.500
Cd 0.333 0.667 0.167
Cd 0.667 0.333 0.833
In 0.000 0.000 0.247
In 0.000 0.000 0.753
In 0.333 0.667 0.420
In 0.333 0.667 0.914
In 0.667 0.333 0.086
In 0.667 0.333 0.580


Arrangement R

VASP calculation (GGA-PBE) on NpCdIn2 after structural relaxation.

Summary:
SG   P4/mmm (123)

Lattice parameters (Å, degrees): 3.145 3.145 9.826 90.00 90.00 90.00
Atoms (fractional coordinates):
Np 0.000 0.000 0.000
Cd 0.000 0.000 0.500
In 0.500 0.500 0.256
In 0.500 0.500 0.744


Which of them is least stable? Easy: arrangement P.